Computed, not measured: KScAs3 after structural relaxation at the PBE level of DFT.

```
KScAs3
1.0
-1.109 4.481 2.395
-5.066 -1.164 -0.167
0.392 -2.368 4.613
Sc K As
1 1 3
Direct
0.000 0.000 0.000
0.500 0.500 0.500
0.000 0.500 0.000
0.000 0.000 0.500
0.500 0.000 0.000
```

Calculated values
energy relative to the elements: -1.22 eV per formula unit
size of the total moment: 0.00 μB per formula unit
calculated total energy: -4.520 eV/atom